[1]
Below is a relaxed structure of DyCd23Hg6, with properties calculated at the PBE level.

Output
**Calculated volume**: 716.85 Å³ per cell
**Crystal system**: cubic
**DFT total energy**: -0.90 eV per atom
**Symmetry**: No. 225
**Total moment**: 0.00 μB/atom
**Formation energy**: 0.5 eV per formula unit

Unit cell a=10.0457 b=10.0457 c=10.0457 alpha=60.00 beta=60.00 gamma=60.00
Positions (direct):
Dy 0.0000 0.0000 0.0000
Cd 0.0000 0.0000 0.5000
Cd 0.0000 0.5000 0.0000
Cd 0.0000 0.5000 0.5000
Cd 0.1318 0.6227 0.6227
Cd 0.1513 0.1513 0.1513
Cd 0.1513 0.1513 0.5460
Cd 0.1513 0.5460 0.1513
Cd 0.3773 0.3773 0.3773
Cd 0.3773 0.3773 0.8682
Cd 0.3773 0.8682 0.3773
Cd 0.4540 0.8487 0.8487
Cd 0.5000 0.0000 0.0000
Cd 0.5000 0.0000 0.5000
Cd 0.5000 0.5000 0.0000
Cd 0.5000 0.5000 0.5000
Cd 0.5460 0.1513 0.1513
Cd 0.6227 0.1318 0.6227
Cd 0.6227 0.6227 0.1318
Cd 0.6227 0.6227 0.6227
Cd 0.8487 0.4540 0.8487
Cd 0.8487 0.8487 0.4540
Cd 0.8487 0.8487 0.8487
Cd 0.8682 0.3773 0.3773
Hg 0.2212 0.2212 0.7788
Hg 0.2212 0.7788 0.2212
Hg 0.2212 0.7788 0.7788
Hg 0.7788 0.2212 0.2212
Hg 0.7788 0.2212 0.7788
Hg 0.7788 0.7788 0.2212

[2]
Below is a relaxed structure of ZnPdN2F, with properties calculated at the PBE level.

Output
**Calculated volume**: 66.74 Å³ per cell
**Crystal system**: tetragonal
**DFT total energy**: -4.02 eV per atom
**Symmetry**: No. 123
**Total moment**: 0.00 μB/atom
**Polymorph energy (0 for the lowest one)**: 0.0000 eV/atom
**Formation energy without anion corrections**: 0.973 eV/atom

Unit cell a=3.9232 b=3.9232 c=4.3363 alpha=90.00 beta=90.00 gamma=90.00
Positions (direct):
Zn 0.0000 0.0000 0.0000
Pd 0.5000 0.5000 0.5000
N 0.0000 0.5000 0.5000
N 0.5000 0.0000 0.5000
F 0.5000 0.5000 0.0000

[3]
Below is a relaxed structure of Ac4TlCoSn, with properties calculated at the PBE level.

Output
**Calculated volume**: 503.60 Å³ per cell
**Crystal system**: orthorhombic
**DFT total energy**: -4.57 eV per atom
**Symmetry**: No. 63
**Total moment**: 0.00 μB/atom
**Formation energy**: -2.1 eV per formula unit

Unit cell a=9.6144 b=9.6144 c=7.5355 alpha=90.00 beta=90.00 gamma=133.70
Positions (direct):
Ac 0.0000 0.5000 0.0000
Ac 0.0000 0.5000 0.5000
Ac 0.0748 0.9252 0.7500
Ac 0.4244 0.5756 0.7500
Ac 0.5000 0.0000 0.0000
Ac 0.5000 0.0000 0.5000
Ac 0.5756 0.4244 0.2500
Ac 0.9252 0.0748 0.2500
Tl 0.3875 0.6125 0.2500
Tl 0.6125 0.3875 0.7500
Co 0.2555 0.7445 0.7500
Co 0.7445 0.2555 0.2500
Sn 0.1133 0.8867 0.2500
Sn 0.8867 0.1133 0.7500

[4]
Below is a relaxed structure of Rb2UAg2Te6, with properties calculated at the PBE level.

Output
**Calculated volume**: 406.79 Å³ per cell
**Crystal system**: monoclinic
**DFT total energy**: -3.86 eV per atom
**Symmetry**: No. 12
**Total moment**: 0.04 μB/atom
**Formation energy without anion corrections**: -0.430 eV/atom

Unit cell a=8.5114 b=8.5114 c=8.8821 alpha=117.09 beta=117.09 gamma=46.73
Positions (direct):
Rb 0.2382 0.2382 0.2144
Rb 0.7618 0.7618 0.7856
U 0.0000 0.0000 0.5000
Ag 0.4028 0.4028 0.8415
Ag 0.5972 0.5972 0.1585
Te 0.2067 0.2067 0.6021
Te 0.2140 0.6965 0.1957
Te 0.3035 0.7860 0.8043
Te 0.6965 0.2140 0.1957
Te 0.7860 0.3035 0.8043
Te 0.7933 0.7933 0.3979

[5]
Below is a relaxed structure of OsPb2, with properties calculated at the PBE level.

Output
**Calculated volume**: 161.43 Å³ per cell
**Crystal system**: tetragonal
**DFT total energy**: -5.66 eV per atom
**Symmetry**: No. 136
**Total moment**: 0.00 μB/atom
**Formation energy**: 1.7 eV per formula unit

Unit cell a=6.8350 b=6.8350 c=3.4554 alpha=90.00 beta=90.00 gamma=90.00
Positions (direct):
Os 0.0000 0.0000 0.0000
Os 0.5000 0.5000 0.5000
Pb 0.2206 0.2206 0.5000
Pb 0.2794 0.7206 0.0000
Pb 0.7206 0.2794 0.0000
Pb 0.7794 0.7794 0.5000

[6]
Below is a relaxed structure of K2NpCu3Cl12, with properties calculated at the PBE level.

Output
**Calculated volume**: 583.69 Å³ per cell
**Crystal system**: trigonal
**DFT total energy**: -3.88 eV per atom
**Symmetry**: No. 166
**Total moment**: 0.11 μB/atom
**Formation energy without anion corrections**: -1.123 eV/atom

Unit cell a=10.6434 b=10.6434 c=10.6434 alpha=46.72 beta=46.72 gamma=46.72
Positions (direct):
K 0.0728 0.0728 0.0728
K 0.9272 0.9272 0.9272
Np 0.5000 0.5000 0.5000
Cu 0.0000 0.5000 0.5000
Cu 0.5000 0.0000 0.5000
Cu 0.5000 0.5000 0.0000
Cl 0.1647 0.5909 0.5909
Cl 0.1808 0.1808 0.5794
Cl 0.1808 0.5794 0.1808
Cl 0.4091 0.4091 0.8353
Cl 0.4091 0.8353 0.4091
Cl 0.4206 0.8192 0.8192
Cl 0.5794 0.1808 0.1808
Cl 0.5909 0.1647 0.5909
Cl 0.5909 0.5909 0.1647
Cl 0.8192 0.4206 0.8192
Cl 0.8192 0.8192 0.4206
Cl 0.8353 0.4091 0.4091